1.
Li2LaNpS4 | GGA-PBE | relaxed

Lattice parameters (Å, degrees): 4.0513 6.6173 7.0430 68.90 90.00 90.00
Closest atoms and distances in Å follow each position.
Fractional positions:
S  0.5000  0.7518  0.2590  3 Li 2.75-2.82, 2 Np 2.78, 1 La 2.88
S  0.0000  0.7581  0.7371  3 Li 2.74-2.85, 1 Np 2.79, 2 La 2.86
S  0.0000  0.2419  0.2629  3 Li 2.74-2.85, 1 Np 2.79, 2 La 2.86
S  0.5000  0.2482  0.7410  3 Li 2.75-2.82, 2 Np 2.78, 1 La 2.88
Np  0.0000  0.5000  0.5000  6 S 2.78-2.79
La  0.5000  0.5000  0.0000  6 S 2.86-2.88
Li  0.5000  0.0000  0.5000  6 S 2.74-2.75
Li  0.0000  0.0000  0.0000  6 S 2.82-2.85

Summary:
uncorrected energy: -6.351 eV/atom
spin magnetization: 4.00 μB per formula unit
raw formation energy: -1.58 eV per atom

=====

2.
LiLaNp2S4 | GGA-PBE | relaxed

Lattice parameters (Å, degrees): 3.9791 6.8392 6.9556 109.45 90.00 90.00
Closest atoms and distances in Å follow each position.
Fractional positions:
S  0.0000  0.7442  0.2558  3 Np 2.75-2.82, 2 Li 2.82, 1 La 2.88
S  0.0000  0.2558  0.7442  3 Np 2.75-2.82, 2 Li 2.82, 1 La 2.88
S  0.5000  0.2630  0.2611  3 Np 2.75-2.83, 1 Li 2.81, 2 La 2.88
S  0.5000  0.7370  0.7389  3 Np 2.75-2.83, 1 Li 2.81, 2 La 2.88
La  0.0000  0.0000  0.0000  6 S 2.88
Li  0.5000  0.5000  0.0000  6 S 2.81-2.82
Np  0.5000  0.0000  0.5000  6 S 2.82-2.83
Np  0.0000  0.5000  0.5000  6 S 2.75

Summary:
uncorrected energy: -7.700 eV/atom
spin magnetization: 8.74 μB per formula unit
raw formation energy: -1.55 eV per atom

=====

3.
Li3La3NpS8 | GGA-PBE | relaxed

Lattice parameters (Å, degrees): 8.3341 8.3319 7.7570 122.50 90.00 120.01
Closest atoms and distances in Å follow each position.
Fractional positions:
Li  0.0000  0.5000  0.0000  6 S 2.80-2.83
Li  0.5000  0.5000  0.0000  6 S 2.80-2.83
Li  0.0000  0.0000  0.0000  6 S 2.80-2.83
S  0.7703  0.0078  0.7452  1 Np 2.70, 2 Li 2.80, 2 La 2.90
S  0.7624  0.9922  0.2548  1 Np 2.70, 2 Li 2.80, 2 La 2.90
S  0.2376  0.0078  0.7452  1 Np 2.70, 2 Li 2.80, 2 La 2.90
S  0.7625  0.5249  0.2550  1 Np 2.70, 2 Li 2.80, 2 La 2.90
S  0.7517  0.5033  0.7550  3 Li 2.83, 3 La 2.86
S  0.2297  0.9922  0.2548  1 Np 2.70, 2 Li 2.80, 2 La 2.90
S  0.2483  0.4967  0.2450  3 Li 2.83, 3 La 2.86
S  0.2375  0.4751  0.7450  1 Np 2.70, 2 Li 2.80, 2 La 2.90
Np  0.0000  0.0000  0.5000  6 S 2.70
La  0.5000  0.5000  0.5000  6 S 2.86-2.90
La  0.5000  0.0000  0.5000  6 S 2.86-2.90
La  0.0000  0.5000  0.5000  6 S 2.86-2.90

Summary:
uncorrected energy: -6.147 eV/atom
spin magnetization: 3.00 μB per formula unit
raw formation energy: -1.71 eV per atom

=====

4.
Li3La2NpS6 | GGA-PBE | relaxed

Lattice parameters (Å, degrees): 7.1174 7.1174 6.5920 99.95 99.95 120.35
Closest atoms and distances in Å follow each position.
Fractional positions:
S  0.0831  0.4041  0.2559  3 Li 2.74-3.05, 1 Np 2.78, 2 La 2.88
S  0.5959  0.9169  0.7441  3 Li 2.74-3.05, 1 Np 2.78, 2 La 2.88
S  0.9169  0.5959  0.7441  3 Li 2.74-3.05, 1 Np 2.78, 2 La 2.88
S  0.7582  0.7582  0.2536  3 Li 2.66-2.84, 1 Np 2.78, 2 La 2.88
S  0.2418  0.2418  0.7464  3 Li 2.66-2.84, 1 Np 2.78, 2 La 2.88
S  0.4041  0.0831  0.2559  3 Li 2.74-3.05, 1 Np 2.78, 2 La 2.88
Np  0.0000  0.0000  0.0000  6 S 2.78
Li  0.8494  0.1506  0.5000  4 S 2.66-2.74
Li  0.1506  0.8494  0.5000  4 S 2.66-2.74
Li  0.5000  0.5000  0.5000  6 S 2.79-2.84
La  0.3321  0.6679  0.0000  6 S 2.88
La  0.6679  0.3321  0.0000  6 S 2.88

Summary:
uncorrected energy: -6.100 eV/atom
spin magnetization: 4.00 μB per formula unit
raw formation energy: -1.66 eV per atom

=====

5.
Li3LaNp2S6 | GGA-PBE | relaxed

Lattice parameters (Å, degrees): 6.9509 6.9509 6.5754 100.07 100.07 120.08
Closest atoms and distances in Å follow each position.
Fractional positions:
Li  0.5000  0.5000  0.5000  6 S 2.67-2.82
Li  0.1729  0.8271  0.5000  6 S 2.64-2.86
Li  0.8271  0.1729  0.5000  6 S 2.64-2.86
S  0.2624  0.2624  0.7428  3 Li 2.67-2.86, 2 Np 2.76, 1 La 2.89
S  0.9167  0.5688  0.7476  3 Li 2.64-2.82, 2 Np 2.75, 1 La 2.87
S  0.0833  0.4312  0.2524  3 Li 2.64-2.82, 2 Np 2.75, 1 La 2.87
S  0.5688  0.9167  0.7476  3 Li 2.64-2.82, 2 Np 2.75, 1 La 2.87
S  0.7376  0.7376  0.2572  3 Li 2.67-2.86, 2 Np 2.76, 1 La 2.89
S  0.4312  0.0833  0.2524  3 Li 2.64-2.82, 2 Np 2.75, 1 La 2.87
Np  0.3340  0.6660  0.0000  6 S 2.75-2.76
Np  0.6660  0.3340  0.0000  6 S 2.75-2.76
La  0.0000  0.0000  0.0000  6 S 2.87-2.89

Summary:
uncorrected energy: -6.614 eV/atom
spin magnetization: 8.00 μB per formula unit
raw formation energy: -1.50 eV per atom

=====

6.
LiLa2NpS5 | GGA-PBE | relaxed

Lattice parameters (Å, degrees): 4.0598 8.5769 11.9837 90.00 90.00 103.69
Closest atoms and distances in Å follow each position.
Fractional positions:
S  0.0471  0.0943  0.0650  2 Li 2.34
S  0.4991  0.9983  0.7799  1 Li 2.38
S  0.5009  0.0017  0.2799  1 Li 2.38
S  0.3085  0.6171  0.3511  2 Np 2.75
S  0.7108  0.4216  0.1590  2 Np 2.75, 3 La 3.01-3.02
S  0.9529  0.9057  0.5650  2 Li 2.34
S  0.2892  0.5784  0.6590  2 Np 2.75, 3 La 3.01-3.02
S  0.6915  0.3829  0.8511  2 Np 2.75
S  0.6362  0.2724  0.5003  1 Li 2.57, 1 Np 2.74
S  0.3638  0.7276  0.0003  1 Li 2.57, 1 Np 2.74
La  0.8748  0.7496  0.8005  8 S 2.91-3.14
La  0.1093  0.2186  0.6862  8 S 2.96-3.15
La  0.1252  0.2504  0.3005  8 S 2.91-3.14
La  0.8907  0.7814  0.1862  8 S 2.96-3.15
Np  0.8007  0.6014  0.5049  6 S 2.64-2.75
Np  0.1993  0.3986  0.0049  6 S 2.64-2.75
Li  0.5171  0.0341  0.9771  4 S 2.34-2.57
Li  0.4829  0.9659  0.4771  4 S 2.34-2.57

Summary:
uncorrected energy: -6.829 eV/atom
spin magnetization: 3.93 μB per formula unit
raw formation energy: -1.79 eV per atom

=====

7.
Li2LaNpSe4 | GGA-PBE | relaxed

Lattice parameters (Å, degrees): 4.2117 7.3193 6.9386 110.79 90.00 90.00
Closest atoms and distances in Å follow each position.
Fractional positions:
La  0.0000  0.0000  0.0000  6 Se 2.99-3.00
Se  0.5000  0.2617  0.2611  3 Li 2.86-2.94, 1 Np 2.93, 2 La 2.99
Se  0.5000  0.7383  0.7389  3 Li 2.86-2.94, 1 Np 2.93, 2 La 2.99
Se  0.0000  0.2562  0.7445  3 Li 2.87-2.93, 2 Np 2.92, 1 La 3.00
Se  0.0000  0.7438  0.2555  3 Li 2.87-2.93, 2 Np 2.92, 1 La 3.00
Li  0.5000  0.0000  0.5000  6 Se 2.93-2.94
Li  0.0000  0.5000  0.5000  6 Se 2.86-2.87
Np  0.5000  0.5000  0.0000  6 Se 2.92-2.93

Summary:
uncorrected energy: -5.899 eV/atom
spin magnetization: 4.00 μB per formula unit
raw formation energy: -1.44 eV per atom

=====

8.
LiLa2NpSe4 | GGA-PBE | relaxed

Lattice parameters (Å, degrees): 4.2233 7.2263 7.3122 70.07 90.00 90.00
Closest atoms and distances in Å follow each position.
Fractional positions:
Se  0.5000  0.2670  0.7479  1 Li 2.89, 2 Np 2.92, 3 La 3.03-3.06
Se  0.0000  0.2671  0.2403  2 Li 2.89, 1 Np 2.94, 3 La 3.02-3.05
Se  0.0000  0.7329  0.7597  2 Li 2.89, 1 Np 2.94, 3 La 3.02-3.05
Se  0.5000  0.7330  0.2521  1 Li 2.89, 2 Np 2.92, 3 La 3.03-3.06
Li  0.5000  0.5000  0.0000  6 Se 2.89
La  0.5000  0.0000  0.5000  6 Se 3.05-3.06
La  0.0000  0.0000  0.0000  6 Se 3.02-3.03
Np  0.0000  0.5000  0.5000  6 Se 2.92-2.94

Summary:
uncorrected energy: -6.433 eV/atom
spin magnetization: 4.62 μB per formula unit
raw formation energy: -1.60 eV per atom

=====

9.
Li3LaNp2Te6 | GGA-PBE | relaxed

Lattice parameters (Å, degrees): 7.7043 7.7043 7.4982 99.87 99.87 119.99
Closest atoms and distances in Å follow each position.
Fractional positions:
Li  0.1659  0.8341  0.5000  6 Te 3.02-3.11
Li  0.5000  0.5000  0.5000  6 Te 3.01-3.11
Li  0.8341  0.1659  0.5000  6 Te 3.02-3.11
Te  0.4292  0.0866  0.2597  3 Li 3.02-3.11, 2 Np 3.12-3.13, 1 La 3.21
Te  0.9134  0.5708  0.7403  3 Li 3.02-3.11, 2 Np 3.12-3.13, 1 La 3.21
Te  0.5708  0.9134  0.7403  3 Li 3.02-3.11, 2 Np 3.12-3.13, 1 La 3.21
Te  0.0866  0.4292  0.2597  3 Li 3.02-3.11, 2 Np 3.12-3.13, 1 La 3.21
Te  0.7451  0.7451  0.2620  3 Li 3.01-3.09, 2 Np 3.13, 1 La 3.22
Te  0.2549  0.2549  0.7380  3 Li 3.01-3.09, 2 Np 3.13, 1 La 3.22
La  0.0000  0.0000  0.0000  6 Te 3.21-3.22
Np  0.3335  0.6665  0.0000  6 Te 3.12-3.13
Np  0.6665  0.3335  0.0000  6 Te 3.12-3.13

Summary:
uncorrected energy: -5.589 eV/atom
spin magnetization: 8.00 μB per formula unit
raw formation energy: -0.97 eV per atom

=====

10.
Li2LaNpTe4 | GGA-PBE | relaxed

Lattice parameters (Å, degrees): 4.4933 7.7750 7.5222 69.74 90.00 90.00
Closest atoms and distances in Å follow each position.
Fractional positions:
La  0.5000  0.5000  0.0000  6 Te 3.21-3.22
Np  0.0000  0.0000  0.0000  6 Te 3.15-3.16
Te  0.5000  0.7545  0.2584  3 Li 3.06-3.13, 2 Np 3.15, 1 La 3.22
Te  0.5000  0.2455  0.7416  3 Li 3.06-3.13, 2 Np 3.15, 1 La 3.22
Te  0.0000  0.7605  0.7364  3 Li 3.06-3.12, 1 Np 3.16, 2 La 3.21
Te  0.0000  0.2395  0.2636  3 Li 3.06-3.12, 1 Np 3.16, 2 La 3.21
Li  0.5000  0.0000  0.5000  6 Te 3.06
Li  0.0000  0.5000  0.5000  6 Te 3.12-3.13

Summary:
uncorrected energy: -5.350 eV/atom
spin magnetization: 4.00 μB per formula unit
raw formation energy: -1.07 eV per atom

=====

11.
Li2LaO2 | GGA-PBE | relaxed

Lattice parameters (Å, degrees): 3.2335 3.2335 5.8252 73.89 73.89 90.00
Closest atoms and distances in Å follow each position.
Fractional positions:
Li  0.2500  0.7500  0.5000  4 O 1.98
Li  0.7500  0.2500  0.5000  4 O 1.98
O  0.3567  0.3567  0.2866  4 Li 1.98
O  0.6433  0.6433  0.7134  4 Li 1.98
La  0.0000  0.0000  0.0000  8 O 2.75

Summary:
uncorrected energy: -5.756 eV/atom
spin magnetization: 0.00 μB per formula unit
raw formation energy: -2.02 eV per atom

=====

12.
LiLa2O2 | GGA-PBE | relaxed

Lattice parameters (Å, degrees): 4.2565 4.2565 7.2285 72.88 72.88 90.00
Closest atoms and distances in Å follow each position.
Fractional positions:
O  0.2500  0.7500  0.5000  4 La 2.40
O  0.7500  0.2500  0.5000  4 La 2.40
La  0.3351  0.3351  0.3299  4 O 2.40
La  0.6649  0.6649  0.6701  4 O 2.40
Li  0.0000  0.0000  0.0000  8 La 3.71, 8 O 3.92

Summary:
uncorrected energy: -6.614 eV/atom
spin magnetization: 0.00 μB per formula unit
raw formation energy: -2.28 eV per atom

=====

> Number 5 is which compound?

Li3LaNp2S6

=====

What did the twelfth record say?
LiLa2O2 | GGA-PBE | relaxed

Lattice parameters (Å, degrees): 4.2565 4.2565 7.2285 72.88 72.88 90.00
Closest atoms and distances in Å follow each position.
Fractional positions:
O  0.2500  0.7500  0.5000  4 La 2.40
O  0.7500  0.2500  0.5000  4 La 2.40
La  0.3351  0.3351  0.3299  4 O 2.40
La  0.6649  0.6649  0.6701  4 O 2.40
Li  0.0000  0.0000  0.0000  8 La 3.71, 8 O 3.92

Summary:
uncorrected energy: -6.614 eV/atom
spin magnetization: 0.00 μB per formula unit
raw formation energy: -2.28 eV per atom

=====

> What is the raw formation energy in the sixth record?

-1.79 eV per atom

=====

Please write out number 12 again, unchanged.
LiLa2O2 | GGA-PBE | relaxed

Lattice parameters (Å, degrees): 4.2565 4.2565 7.2285 72.88 72.88 90.00
Closest atoms and distances in Å follow each position.
Fractional positions:
O  0.2500  0.7500  0.5000  4 La 2.40
O  0.7500  0.2500  0.5000  4 La 2.40
La  0.3351  0.3351  0.3299  4 O 2.40
La  0.6649  0.6649  0.6701  4 O 2.40
Li  0.0000  0.0000  0.0000  8 La 3.71, 8 O 3.92

Summary:
uncorrected energy: -6.614 eV/atom
spin magnetization: 0.00 μB per formula unit
raw formation energy: -2.28 eV per atom